A geometry-optimized ScTlRh2 structure. Source: the Alexandria database, functional PBE-GGA.

Unit cell a=4.5986 b=4.5986 c=4.5986 alpha=60.00 beta=60.00 gamma=60.00
With the nearest neighbours (Å) after each atom.
Atoms (fractional coordinates):
Sc (0.0000, 0.0000, 0.0000)  8 Rh 2.82
Tl (0.5000, 0.5000, 0.5000)  8 Rh 2.82
Rh (0.2500, 0.2500, 0.2500)  4 Tl 2.82, 4 Sc 2.82
Rh (0.7500, 0.7500, 0.7500)  4 Tl 2.82, 4 Sc 2.82

**Relative energy among the computed polymorphs**: 1 meV/atom
**ΔH_f (0 K)**: -0.586 eV per atom
**Symmetry**: Fm-3m, No. 225

***

A geometry-optimized Mg6SnC structure. Source: the Alexandria database, functional PBE-GGA.

Unit cell a=6.7836 b=6.7836 c=3.5276 alpha=90.00 beta=90.00 gamma=97.74
With the nearest neighbours (Å) after each atom.
Atoms (fractional coordinates):
Mg (0.6122, 0.9054, 0.0000)  1 C 2.50, 2 Mg 2.79
Mg (0.0946, 0.3878, 0.0000)  1 C 2.50, 2 Mg 2.79
Mg (0.7773, 0.5423, 0.5000)  2 C 2.54
Mg (0.4577, 0.2227, 0.5000)  2 C 2.54
Mg (0.3470, 0.6530, 0.5000)  6 Mg 2.91-3.11, 2 Sn 2.98
Mg (0.8692, 0.1308, 0.5000)  2 C 2.27
Sn (0.1122, 0.8878, 0.0000)  4 Mg 2.98-3.05
C (0.7297, 0.2703, 0.0000)  4 Mg 2.27-2.50

**Relative energy among the computed polymorphs**: 0 meV/atom
**ΔH_f (0 K)**: 0.245 eV per atom
**Symmetry**: Amm2, No. 38

***

A geometry-optimized BaCdPt3Pb structure. Source: the Alexandria database, functional PBE-GGA.

Unit cell a=6.0216 b=6.1638 c=9.3438 alpha=109.26 beta=90.00 gamma=90.00
With the nearest neighbours (Å) after each atom.
Atoms (fractional coordinates):
Ba (0.7500, 0.2211, 0.4422)  4 Pt 3.09-3.10
Ba (0.2500, 0.7789, 0.5578)  4 Pt 3.09-3.10
Cd (0.2500, 0.1090, 0.2180)  5 Pt 2.68-2.79
Cd (0.7500, 0.8910, 0.7820)  5 Pt 2.68-2.79
Pt (0.2500, 0.2610, 0.5220)  1 Cd 2.68, 1 Pb 2.71
Pt (0.0000, 0.2198, 0.0000)  3 Pt 2.71-3.01, 2 Pb 2.74, 2 Cd 2.79
Pt (0.5000, 0.7802, 0.0000)  3 Pt 2.71-3.01, 2 Pb 2.74, 2 Cd 2.79
Pt (0.5000, 0.2198, 0.0000)  3 Pt 2.71-3.01, 2 Pb 2.74, 2 Cd 2.79
Pt (0.0000, 0.7802, 0.0000)  3 Pt 2.71-3.01, 2 Pb 2.74, 2 Cd 2.79
Pt (0.7500, 0.7390, 0.4780)  1 Cd 2.68, 1 Pb 2.71
Pb (0.2500, 0.4149, 0.8297)  5 Pt 2.71-2.74
Pb (0.7500, 0.5851, 0.1703)  5 Pt 2.71-2.74

**ΔH_f (0 K)**: -0.316 eV per atom
**Symmetry**: Cmcm, No. 63

***

A geometry-optimized ZrSi2Ge structure. Source: the Alexandria database, functional PBE-GGA.

Unit cell a=7.2383 b=7.2383 c=5.8214 alpha=51.56 beta=51.56 gamma=90.00
With the nearest neighbours (Å) after each atom.
Atoms (fractional coordinates):
Ge (0.5000, 0.5000, 0.0000)  4 Si 2.54, 2 Zr 2.77
Ge (0.2500, 0.7500, 0.5000)  4 Si 2.54, 2 Zr 2.77
Si (0.6013, 0.1250, 0.2500)  2 Ge 2.54, 2 Zr 2.77, 2 Si 2.79
Si (0.1487, 0.6250, 0.2500)  2 Ge 2.54, 2 Zr 2.77, 2 Si 2.79
Si (0.3750, 0.3987, 0.7500)  2 Ge 2.54, 2 Zr 2.77, 2 Si 2.79
Si (0.8750, 0.8513, 0.7500)  2 Ge 2.54, 2 Zr 2.77, 2 Si 2.79
Zr (0.0000, 0.0000, 0.0000)  4 Si 2.77, 2 Ge 2.77
Zr (0.7500, 0.2500, 0.5000)  4 Si 2.77, 2 Ge 2.77

**Symmetry**: I-42d, No. 122
**Formation energy without anion corrections**: 29 meV/atom

***

DFT total energy, respectively: -25.74 -20.84 -26.57 -23.89 eV/f.u..